Record 1
# MoPbCl SCAN single point on PBEsol structure
# Energy above the most stable polymorph in this dataset   3.214 eV per formula unit
data_MoPbCl
_chemical_formula_sum 'Mo4 Pb4 Cl4'
_symmetry_space_group_name_H-M 'F -4 3 m'
_symmetry_Int_Tables_number 216
_symmetry_space_group_name_Hall 'F -4 2 3'
_cell_length_a 6.9346
_cell_length_b 6.9346
_cell_length_c 6.9346
_cell_angle_alpha 90.00
_cell_angle_beta 90.00
_cell_angle_gamma 90.00
loop_
_atom_site_label
_atom_site_fract_x
_atom_site_fract_y
_atom_site_fract_z
Mo1 0.0000 0.0000 0.0000
Pb1 0.2500 0.2500 0.2500
Cl1 0.0000 0.0000 0.5000


Record 2
# CrInTe

A PBEsol-optimized structure of CrInTe (SCAN, Alexandria via LeMat-Bulk).

Geometry as CIF:
```
data_CrInTe
_chemical_formula_sum 'Cr2 In2 Te2'
_symmetry_space_group_name_H-M 'I 4 m m'
_symmetry_Int_Tables_number 107
_symmetry_space_group_name_Hall 'I 4 -2'
_cell_length_a 3.2024
_cell_length_b 3.2024
_cell_length_c 11.9354
_cell_angle_alpha 90.00
_cell_angle_beta 90.00
_cell_angle_gamma 90.00
loop_
_atom_site_label
_atom_site_fract_x
_atom_site_fract_y
_atom_site_fract_z
Cr1 0.0000 0.0000 0.0000
In1 0.0000 0.0000 0.6530
Te1 0.0000 0.0000 0.3842
```


Record 3
# ReOs SCAN single point on PBEsol structure
# Energy above the most stable polymorph in this dataset   0.069 eV per formula unit
# Energy relative to the elements   -0.080 eV per atom
data_ReOs
_chemical_formula_sum 'Re2 Os2'
_symmetry_space_group_name_H-M 'P m m n'
_symmetry_Int_Tables_number 59
_cell_length_a 2.7482
_cell_length_b 4.3562
_cell_length_c 4.7492
_cell_angle_alpha 90.00
_cell_angle_beta 90.00
_cell_angle_gamma 90.00
loop_
_symmetry_equiv_pos_as_xyz
'x,y,z'
'-x,-y,-z'
'-x+1/2,-y+1/2,z'
'x+1/2,y+1/2,-z'
'x+1/2,-y,-z'
'-x+1/2,y,z'
'-x,y+1/2,-z'
'x,-y+1/2,z'
loop_
_atom_site_label
_atom_site_fract_x
_atom_site_fract_y
_atom_site_fract_z
Re1 0.2500 0.2500 0.0857
Os1 0.2500 0.7500 0.4191


Record 4
# Ir2Se SCAN single point on PBEsol structure
# Energy above the most stable polymorph in this dataset   1.251 eV per formula unit
data_Ir2Se
_chemical_formula_sum 'Ir2 Se1'
_symmetry_space_group_name_H-M 'P 6/m m m'
_symmetry_Int_Tables_number 191
_symmetry_space_group_name_Hall '-P 6 2'
_cell_length_a 4.3876
_cell_length_b 4.3876
_cell_length_c 2.8241
_cell_angle_alpha 90.00
_cell_angle_beta 90.00
_cell_angle_gamma 120.00
loop_
_atom_site_label
_atom_site_fract_x
_atom_site_fract_y
_atom_site_fract_z
Ir1 0.3333 0.6667 0.0000
Se1 0.0000 0.0000 0.5000


Record 5
# LiAg2 SCAN single point on PBEsol structure
# Energy above the most stable polymorph in this dataset   0.013 eV per formula unit
# Energy relative to the elements   -0.152 eV per atom
data_LiAg2
_chemical_formula_sum 'Li4 Ag8'
_symmetry_space_group_name_H-M 'P n m a'
_symmetry_Int_Tables_number 62
_cell_length_a 5.6041
_cell_length_b 4.0101
_cell_length_c 8.4194
_cell_angle_alpha 90.00
_cell_angle_beta 90.00
_cell_angle_gamma 90.00
loop_
_symmetry_equiv_pos_as_xyz
'x,y,z'
'-x,-y,-z'
'-x+1/2,-y,z+1/2'
'x+1/2,y,-z+1/2'
'x+1/2,-y+1/2,-z+1/2'
'-x+1/2,y+1/2,z+1/2'
'-x,y+1/2,-z'
'x,-y+1/2,z'
loop_
_atom_site_label
_atom_site_fract_x
_atom_site_fract_y
_atom_site_fract_z
Li1 0.1425 0.2500 0.0892
Ag1 0.1127 0.2500 0.7562
Ag2 0.1339 0.2500 0.4185


Record 6
# Zn2InAu SCAN single point on PBEsol structure
# Energy relative to the elements   -0.015 eV per atom
data_Zn2InAu
_chemical_formula_sum 'Zn4 In2 Au2'
_symmetry_space_group_name_H-M 'I 4/m m m'
_symmetry_Int_Tables_number 139
_symmetry_space_group_name_Hall '-I 4 2'
_cell_length_a 4.0964
_cell_length_b 4.0964
_cell_length_c 8.1199
_cell_angle_alpha 90.00
_cell_angle_beta 90.00
_cell_angle_gamma 90.00
loop_
_atom_site_label
_atom_site_fract_x
_atom_site_fract_y
_atom_site_fract_z
Zn1 0.0000 0.5000 0.2500
In1 0.0000 0.0000 0.0000
Au1 0.0000 0.0000 0.5000


| no. | raw total energy (eV per atom) | DOS(E_F) (states/eV/f.u.) |
| --- | --- | --- |
| 1 | -38.44 | 1.72 |
| 2 | -29.50 | 1.25 |
| 3 | -71.57 | 1.25 |
| 4 | -53.21 | 2.55 |
| 5 | -21.86 | 0.68 |
| 6 | -32.41 | 1.31 |